The following is a DFT calculation (PBE) of a relaxed GdYLuOs crystal.

```
data_GdYLuOs
_space_group_name_H-M_alt 'F -4 3 m'
_space_group_IT_number 216
_space_group_name_Hall 'F -4 2 3'
_cell_length_a 7.2350
_cell_length_b 7.2350
_cell_length_c 7.2350
_cell_angle_alpha 90.00
_cell_angle_beta 90.00
_cell_angle_gamma 90.00
loop_
_atom_site_label
_atom_site_fract_x
_atom_site_fract_y
_atom_site_fract_z
Gd1 0.0000 0.0000 0.0000
Y1 0.0000 0.0000 0.5000
Lu1 0.2500 0.2500 0.2500
Os1 0.2500 0.2500 0.7500
```

Formation energy ... 0.12 eV per atom